1.
Here is a relaxed structure of HgGeSO from the Open Quantum Materials Database. Energies are from PBE.

Cell and atoms, written as CIF:
```
data_HgGeSO
_chemical_formula_sum 'Hg2 Ge2 S2 O2'
_space_group_name_H-M_alt 'P 4/n m m'
_space_group_IT_number 129
_cell_length_a 4.1553
_cell_length_b 4.1553
_cell_length_c 8.3174
_cell_angle_alpha 90.00
_cell_angle_beta 90.00
_cell_angle_gamma 90.00
loop_
_space_group_symop_operation_xyz
'x,y,z'
'-x,-y,-z'
'-y+1/2,x,z'
'y+1/2,-x,-z'
'-x+1/2,-y+1/2,z'
'x+1/2,y+1/2,-z'
'y,-x+1/2,z'
'-y,x+1/2,-z'
'x+1/2,-y,-z'
'-x+1/2,y,z'
'-y,-x,-z'
'y,x,z'
'-x,y+1/2,-z'
'x,-y+1/2,z'
'y+1/2,x+1/2,-z'
'-y+1/2,-x+1/2,z'
loop_
_atom_site_label
_atom_site_fract_x
_atom_site_fract_y
_atom_site_fract_z
Hg1 0.2500 0.2500 0.1774
Ge1 0.2500 0.2500 0.5497
S1 0.2500 0.2500 0.8275
O1 0.2500 0.7500 0.5000
```

Output
**Raw total energy**: -3.859 eV/atom

2.
Here is a relaxed structure of RbWN2 from the Open Quantum Materials Database. Energies are from PBE.

Cell and atoms, written as CIF:
```
data_RbWN2
_chemical_formula_sum 'Rb4 W4 N8'
_space_group_name_H-M_alt 'I -4'
_space_group_IT_number 82
_space_group_name_Hall 'I -4'
_cell_length_a 6.0169
_cell_length_b 6.0169
_cell_length_c 8.6535
_cell_angle_alpha 90.00
_cell_angle_beta 90.00
_cell_angle_gamma 90.00
loop_
_atom_site_label
_atom_site_fract_x
_atom_site_fract_y
_atom_site_fract_z
Rb1 0.0000 0.0000 0.0000
Rb2 0.0000 0.5000 0.2500
W1 0.0000 0.0000 0.5000
W2 0.0000 0.5000 0.7500
N1 0.0692 0.2490 0.6259
```

Output
**Raw total energy**: -8.067 eV/atom

3.
Here is a relaxed structure of ZnOs from the Open Quantum Materials Database. Energies are from PBE.

Cell and atoms, written as CIF:
```
data_ZnOs
_chemical_formula_sum 'Zn10 Os10'
_space_group_name_H-M_alt 'A m m 2'
_space_group_IT_number 38
_space_group_name_Hall 'A 2 -2'
_cell_length_a 4.5201
_cell_length_b 13.2261
_cell_length_c 4.7411
_cell_angle_alpha 90.00
_cell_angle_beta 90.00
_cell_angle_gamma 90.00
loop_
_atom_site_label
_atom_site_fract_x
_atom_site_fract_y
_atom_site_fract_z
Zn1 0.0000 0.0000 0.0000
Zn2 0.0000 0.0954 0.4822
Zn3 0.5000 0.0990 0.8318
Os1 0.0000 0.2093 0.9739
Os2 0.5000 0.0000 0.3400
Os3 0.5000 0.1969 0.3160
```

Output
**ΔH_f (0 K)**: 0.2283 eV per atom

4.
Here is a relaxed structure of Gd3ErPt4 from the Open Quantum Materials Database. Energies are from PBE.

Cell and atoms, written as CIF:
```
data_Gd3ErPt4
_chemical_formula_sum 'Gd3 Er1 Pt4'
_space_group_name_H-M_alt 'P 1 m 1'
_space_group_IT_number 6
_space_group_name_Hall 'P -2y'
_cell_length_a 5.5777
_cell_length_b 4.5246
_cell_length_c 7.0765
_cell_angle_alpha 90.00
_cell_angle_beta 90.29
_cell_angle_gamma 90.00
loop_
_atom_site_label
_atom_site_fract_x
_atom_site_fract_y
_atom_site_fract_z
Gd1 0.0000 0.0000 0.0000
Gd2 0.2183 0.0000 0.4986
Gd3 0.7177 0.5000 0.6348
Er1 0.4994 0.5000 0.1355
Pt1 0.0152 0.5000 0.2714
Pt2 0.2057 0.5000 0.7762
Pt3 0.5133 0.0000 0.8673
Pt4 0.7003 0.0000 0.3558
```

Output
**ΔH_f (0 K)**: -1.2680 eV per atom

5.
Here is a relaxed structure of SrOsNO from the Open Quantum Materials Database. Energies are from PBE.

Cell and atoms, written as CIF:
```
data_SrOsNO
_chemical_formula_sum 'Sr2 Os2 N2 O2'
_space_group_name_H-M_alt 'P 4/n m m'
_space_group_IT_number 129
_cell_length_a 5.0611
_cell_length_b 5.0611
_cell_length_c 4.4823
_cell_angle_alpha 90.00
_cell_angle_beta 90.00
_cell_angle_gamma 90.00
loop_
_space_group_symop_operation_xyz
'x,y,z'
'-x,-y,-z'
'-y+1/2,x,z'
'y+1/2,-x,-z'
'-x+1/2,-y+1/2,z'
'x+1/2,y+1/2,-z'
'y,-x+1/2,z'
'-y,x+1/2,-z'
'x+1/2,-y,-z'
'-x+1/2,y,z'
'-y,-x,-z'
'y,x,z'
'-x,y+1/2,-z'
'x,-y+1/2,z'
'y+1/2,x+1/2,-z'
'-y+1/2,-x+1/2,z'
loop_
_atom_site_label
_atom_site_fract_x
_atom_site_fract_y
_atom_site_fract_z
Sr1 0.2500 0.7500 0.0000
Os1 0.2500 0.2500 0.4764
N1 0.2500 0.2500 0.0544
O1 0.2500 0.7500 0.5000
```

Output
**Raw total energy**: -6.466 eV/atom

6.
Here is a relaxed structure of Pr2Sm2Br5N from the Open Quantum Materials Database. Energies are from PBE.

Cell and atoms, written as CIF:
```
data_Pr2Sm2Br5N
_chemical_formula_sum 'Pr4 Sm4 Br10 N2'
_space_group_name_H-M_alt 'C 1 2/m 1'
_space_group_IT_number 12
_space_group_name_Hall '-C 2y'
_cell_length_a 18.0849
_cell_length_b 3.8848
_cell_length_c 8.4169
_cell_angle_alpha 90.00
_cell_angle_beta 103.40
_cell_angle_gamma 90.00
loop_
_atom_site_label
_atom_site_fract_x
_atom_site_fract_y
_atom_site_fract_z
Pr1 0.0012 0.0000 0.2968
Sm1 0.1371 0.5000 0.5711
Br1 0.0000 0.5000 0.0000
Br2 0.1671 0.0000 0.8380
Br3 0.1731 0.0000 0.3334
N1 0.0000 0.5000 0.5000
```

Output
**Raw total energy**: -5.194 eV/atom

7.
Here is a relaxed structure of Co2ReTc from the Open Quantum Materials Database. Energies are from PBE.

Cell and atoms, written as CIF:
```
data_Co2ReTc
_chemical_formula_sum 'Co2 Re1 Tc1'
_space_group_name_H-M_alt 'P m m 2'
_space_group_IT_number 25
_space_group_name_Hall 'P 2 -2'
_cell_length_a 2.6172
_cell_length_b 4.1815
_cell_length_c 4.5082
_cell_angle_alpha 90.00
_cell_angle_beta 90.00
_cell_angle_gamma 90.00
loop_
_atom_site_label
_atom_site_fract_x
_atom_site_fract_y
_atom_site_fract_z
Co1 0.0000 0.0000 0.0000
Co2 0.0000 0.5000 0.3166
Re1 0.5000 0.5000 0.8310
Tc1 0.5000 0.0000 0.4828
```

Output
**ΔH_f (0 K)**: -0.0582 eV per atom

8.
Here is a relaxed structure of ScBeZnPb from the Open Quantum Materials Database. Energies are from PBE.

Cell and atoms, written as CIF:
```
data_ScBeZnPb
_chemical_formula_sum 'Sc4 Be4 Zn4 Pb4'
_space_group_name_H-M_alt 'F -4 3 m'
_space_group_IT_number 216
_space_group_name_Hall 'F -4 2 3'
_cell_length_a 6.7233
_cell_length_b 6.7233
_cell_length_c 6.7233
_cell_angle_alpha 90.00
_cell_angle_beta 90.00
_cell_angle_gamma 90.00
loop_
_atom_site_label
_atom_site_fract_x
_atom_site_fract_y
_atom_site_fract_z
Sc1 0.0000 0.0000 0.0000
Be1 0.0000 0.0000 0.5000
Zn1 0.2500 0.2500 0.2500
Pb1 0.2500 0.2500 0.7500
```

Output
**Raw total energy**: -3.508 eV/atom